# 1
# LaOsSe2 (PBE, optimized geometry)
# Final energy = -6.40 eV per atom
# E above lowest polymorph = 33 kJ/mol of formula units
# Formation energy (no corrections) = -0.615 eV/atom
data_LaOsSe2
_cell_length_a 6.023
_cell_length_b 7.407
_cell_length_c 4.048
_cell_angle_alpha 90.00
_cell_angle_beta 90.00
_cell_angle_gamma 90.00
_symmetry_space_group_name_H-M 'C m m m'
_symmetry_Int_Tables_number 65
_symmetry_space_group_name_Hall '-C 2 2'
loop_
_atom_site_label
_atom_site_fract_x
_atom_site_fract_y
_atom_site_fract_z
La1 0.000 0.000 0.000
Os1 0.000 0.500 0.000
Se1 0.000 0.303 0.500

---

# 2
# BaCr2Co (PBE, optimized geometry)
# Final energy = -6.52 eV per atom
# E above lowest polymorph = 0 kJ/mol of formula units
# ΔE_f = 0.550 eV per atom
data_BaCr2Co
_cell_length_a 4.1950
_cell_length_b 4.1950
_cell_length_c 17.8108
_cell_angle_alpha 90.00
_cell_angle_beta 90.00
_cell_angle_gamma 120.00
_symmetry_space_group_name_H-M 'R 3 m'
_symmetry_Int_Tables_number 160
_symmetry_space_group_name_Hall 'R 3 -2"'
loop_
_atom_site_label
_atom_site_fract_x
_atom_site_fract_y
_atom_site_fract_z
Ba1 0.0000 0.0000 0.0000
Cr1 0.0000 0.0000 0.5111
Cr2 0.0000 0.0000 0.8066
Co1 0.0000 0.0000 0.1900

---

# 3
# CeNpSi2 (PBE, optimized geometry)
# Final energy = -7.72 eV per atom
# E above lowest polymorph = 0 kJ/mol of formula units
# Formation energy (no corrections) = -0.289 eV/atom
data_CeNpSi2
_cell_length_a 3.173
_cell_length_b 3.173
_cell_length_c 8.134
_cell_angle_alpha 90.00
_cell_angle_beta 90.00
_cell_angle_gamma 90.00
_symmetry_space_group_name_H-M 'P 4/m m m'
_symmetry_Int_Tables_number 123
_symmetry_space_group_name_Hall '-P 4 2'
loop_
_atom_site_label
_atom_site_fract_x
_atom_site_fract_y
_atom_site_fract_z
Ce1 0.000 0.000 0.000
Np1 0.000 0.000 0.500
Si1 0.500 0.500 0.258

---

# 4
# LaYRuPt (PBE, optimized geometry)
# Final energy = -7.31 eV per atom
# ΔE_f = -0.637 eV per atom
data_LaYRuPt
_cell_length_a 7.072
_cell_length_b 7.072
_cell_length_c 7.072
_cell_angle_alpha 90.00
_cell_angle_beta 90.00
_cell_angle_gamma 90.00
_symmetry_space_group_name_H-M 'F -4 3 m'
_symmetry_Int_Tables_number 216
_symmetry_space_group_name_Hall 'F -4 2 3'
loop_
_atom_site_label
_atom_site_fract_x
_atom_site_fract_y
_atom_site_fract_z
La1 0.000 0.000 0.000
Y1 0.000 0.000 0.500
Ru1 0.250 0.250 0.250
Pt1 0.250 0.250 0.750